# Ac2TmAg | the Alexandria database | PBE | optimized geometry
data_Ac2TmAg
_space_group_name_H-M_alt 'F m -3 m'
_space_group_IT_number 225
_space_group_name_Hall '-F 4 2 3'
_cell_length_a 8.151
_cell_length_b 8.151
_cell_length_c 8.151
_cell_angle_alpha 90.00
_cell_angle_beta 90.00
_cell_angle_gamma 90.00
loop_
_atom_site_label
_atom_site_type_symbol
_atom_site_fract_x
_atom_site_fract_y
_atom_site_fract_z
Ac1 Ac 0.250 0.250 0.250
Tm1 Tm 0.000 0.000 0.000
Ag1 Ag 0.000 0.000 0.500
# Magnetization: 0.0 Bohr magnetons per cell
# V: 135.4 Å³/f.u.
# Formation energy from the elements: 0.06 eV per atom
# Crystal system: cubic
# E_tot: -0.1405 hartree per atom